[1]
Tb8AuSe4S3: optimized geometry, PBE-GGA.

Lattice parameters (Å, degrees): 8.0750 8.0750 20.0206 90.00 90.00 120.00
Space group R-3m (No. 166, hexagonal axes)
One atom of each set of equivalent atoms:
1 Tb 0.0000 0.0000 0.2424
2 Tb 0.0070 0.5035 0.7541
3 Au 0.0000 0.0000 0.5000
4 Se 0.0000 0.0000 0.0000
5 Se 0.0000 0.5000 0.0000
6 S 0.0000 0.5000 0.5000

Output
- Density of states at the Fermi level: 20.11 states/eV/cell
- Energy relative to the elements, uncorrected: -1.748 eV/atom

=====

[2]
PaAl2Ga: optimized geometry, PBE-GGA.

Lattice parameters (Å, degrees): 3.4074 3.4074 6.7559 90.00 90.00 90.00
Space group P4/mmm (No. 123)
One atom of each set of equivalent atoms:
1 Pa 0.0000 0.0000 0.0000
2 Al 0.5000 0.5000 0.2949
3 Ga 0.0000 0.0000 0.5000

Output
- Density of states at the Fermi level: 3.55 states/eV/cell
- E above lowest polymorph: 0.752 eV/f.u.
- ΔE_f: -0.097 eV per atom

=====

[3]
Tl3HgRh: optimized geometry, PBE-GGA.

Lattice parameters (Å, degrees): 8.3353 10.7371 6.2890 90.00 90.00 90.00
Space group Cmcm (No. 63)
One atom of each set of equivalent atoms:
1 Tl 0.0000 0.0000 0.0000
2 Tl 0.1775 0.2801 0.2500
3 Hg 0.0000 0.4545 0.7500
4 Rh 0.0000 0.1995 0.7500

Output
- Density of states at the Fermi level: 8.42 states/eV/cell
- E above lowest polymorph: 0.676 eV/f.u.
- ΔE_f: 0.113 eV per atom

=====

[4]
NaSrAg2Pb: optimized geometry, PBE-GGA.

Lattice parameters (Å, degrees): 5.2193 5.2193 5.5189 90.00 90.00 90.00
Space group P4/mmm (No. 123)
One atom of each set of equivalent atoms:
1 Na 0.0000 0.0000 0.0000
2 Sr 0.5000 0.5000 0.5000
3 Ag 0.0000 0.5000 0.0000
4 Pb 0.0000 0.0000 0.5000

Output
- Density of states at the Fermi level: 3.15 states/eV/cell
- ΔE_f: 0.203 eV per atom

=====

[5]
Li2NiRuN: optimized geometry, PBE-GGA.

Lattice parameters (Å, degrees): 3.8469 3.8469 3.8247 90.00 90.00 90.00
Space group P4/mmm (No. 123)
One atom of each set of equivalent atoms:
1 Li 0.0000 0.5000 0.0000
2 Ni 0.0000 0.0000 0.5000
3 Ru 0.5000 0.5000 0.5000
4 N 0.5000 0.5000 0.0000

Output
- Density of states at the Fermi level: 5.10 states/eV/cell
- Energy relative to the elements, uncorrected: -0.029 eV/atom